Model P:
# TePb2S

A relaxed TePb2S crystal (PBE-GGA, Alexandria).

abc: 7.6670 7.6670 7.6670
angles: 90.00 90.00 90.00
Sites, in units of the cell vectors:
Te1 0.0000 0.0000 0.0000
Te2 0.0000 0.5000 0.5000
Te3 0.5000 0.0000 0.5000
Te4 0.5000 0.5000 0.0000
Pb1 0.2500 0.2500 0.2500
Pb2 0.2500 0.2500 0.7500
Pb3 0.2500 0.7500 0.2500
Pb4 0.2500 0.7500 0.7500
Pb5 0.7500 0.2500 0.2500
Pb6 0.7500 0.2500 0.7500
Pb7 0.7500 0.7500 0.2500
Pb8 0.7500 0.7500 0.7500
S1 0.0000 0.0000 0.5000
S2 0.0000 0.5000 0.0000
S3 0.5000 0.0000 0.0000
S4 0.5000 0.5000 0.5000

SG = Fm-3m, No. 225
calculated density = 8.5 g cm⁻³

***

Model Q:
# TePb2S

A relaxed TePb2S crystal (PBE-GGA, Alexandria).

abc: 6.9583 6.9583 13.9233
angles: 90.00 90.00 90.00
Sites, in units of the cell vectors:
Te1 0.0000 0.0000 0.0000
Te2 0.0000 0.5000 0.2500
Te3 0.5000 0.0000 0.7500
Te4 0.5000 0.5000 0.5000
Pb1 0.2129 0.2500 0.6250
Pb2 0.2500 0.7129 0.8750
Pb3 0.2500 0.7871 0.3750
Pb4 0.2871 0.2500 0.1250
Pb5 0.7129 0.7500 0.1250
Pb6 0.7500 0.2129 0.3750
Pb7 0.7500 0.2871 0.8750
Pb8 0.7871 0.7500 0.6250
S1 0.0000 0.0000 0.5000
S2 0.0000 0.5000 0.7500
S3 0.5000 0.0000 0.2500
S4 0.5000 0.5000 0.0000

SG = I-42d, No. 122
calculated density = 5.7 g cm⁻³

***

Model R:
# TePb2S

A relaxed TePb2S crystal (PBE-GGA, Alexandria).

abc: 4.4664 4.4664 6.3159
angles: 90.00 90.00 90.00
Sites, in units of the cell vectors:
Te1 0.0000 0.0000 0.0000
Pb1 0.0000 0.0000 0.5000
Pb2 0.5000 0.5000 0.0000
S1 0.5000 0.5000 0.5000

SG = P4/mmm, No. 123
calculated density = 7.6 g cm⁻³

***

Most stable to least stable, the ends of the list are model R and model P.

***

Model P:
# Te2Pb2S5

A relaxed Te2Pb2S5 crystal (PBE-GGA, Alexandria).

abc: 8.7243 8.7243 6.6845
angles: 108.68 108.68 35.24
Sites, in units of the cell vectors:
Te1 0.1417 0.1417 0.3611
Te2 0.8583 0.8583 0.6389
Pb1 0.4295 0.4295 0.1648
Pb2 0.5705 0.5705 0.8352
S1 0.0000 0.0000 0.0000
S2 0.1138 0.1138 0.6865
S3 0.3900 0.3900 0.6921
S4 0.6100 0.6100 0.3079
S5 0.8862 0.8862 0.3135

SG = C2/m, No. 12
calculated density = 5.0 g cm⁻³

***

Model Q:
# Te2Pb2S5

A relaxed Te2Pb2S5 crystal (PBE-GGA, Alexandria).

abc: 11.7501 11.7501 11.7501
angles: 52.96 148.29 138.74
Sites, in units of the cell vectors:
Te1 0.0000 0.0000 0.0000
Te2 0.0000 0.5000 0.5000
Te3 0.0428 0.7986 0.7442
Te4 0.0544 0.2986 0.2558
Pb1 0.5305 0.6625 0.1077
Pb2 0.5305 0.9229 0.3681
Pb3 0.5548 0.1625 0.6319
Pb4 0.5548 0.4229 0.8923
S1 0.0161 0.2493 0.6335
S2 0.0161 0.8826 0.2668
S3 0.0969 0.3606 0.0570
S4 0.0969 0.5399 0.2362
S5 0.3037 0.0399 0.9430
S6 0.3037 0.8606 0.7638
S7 0.4890 0.3670 0.6220
S8 0.6158 0.3826 0.3665
S9 0.6158 0.7493 0.7332
S10 0.7450 0.8670 0.3780

SG = Ima2, No. 46
calculated density = 4.9 g cm⁻³

***

Most stable to least stable, the ends of the list are model Q and model P.

***

Model P:
# ThPb2S4

A relaxed ThPb2S4 crystal (PBE-GGA, Alexandria).

abc: 7.3823 12.8138 4.2238
angles: 90.00 90.00 90.00
Sites, in units of the cell vectors:
Th1 0.0000 0.0000 0.0000
Th2 0.5000 0.5000 0.0000
Pb1 0.1133 0.3287 0.5000
Pb2 0.3867 0.8287 0.5000
Pb3 0.6133 0.1713 0.5000
Pb4 0.8867 0.6713 0.5000
S1 0.1305 0.7967 0.0000
S2 0.2421 0.0373 0.5000
S3 0.2579 0.5373 0.5000
S4 0.3695 0.2967 0.0000
S5 0.6305 0.7033 0.0000
S6 0.7421 0.4627 0.5000
S7 0.7579 0.9627 0.5000
S8 0.8695 0.2033 0.0000

SG = Pbam, No. 55
calculated density = 6.4 g cm⁻³

***

Model Q:
# ThPb2S4

A relaxed ThPb2S4 crystal (PBE-GGA, Alexandria).

abc: 7.3741 7.3741 13.6066
angles: 90.00 90.00 148.77
Sites, in units of the cell vectors:
Th1 0.1207 0.8793 0.7500
Th2 0.8793 0.1207 0.2500
Pb1 0.3726 0.6274 0.5668
Pb2 0.3726 0.6274 0.9332
Pb3 0.6274 0.3726 0.0668
Pb4 0.6274 0.3726 0.4332
S1 0.0000 0.0000 0.0000
S2 0.0000 0.0000 0.5000
S3 0.2912 0.7088 0.1286
S4 0.2912 0.7088 0.3714
S5 0.4848 0.5152 0.7500
S6 0.5152 0.4848 0.2500
S7 0.7088 0.2912 0.6286
S8 0.7088 0.2912 0.8714

SG = Cmcm, No. 63
calculated density = 6.7 g cm⁻³

***

Most stable to least stable, the ends of the list are model P and model Q.

***

Model P:
# Th2PbS

A relaxed Th2PbS crystal (PBE-GGA, Alexandria).

abc: 4.3284 4.3284 21.1136
angles: 90.00 90.00 120.00
Sites, in units of the cell vectors:
Th1 0.0000 0.0000 0.2365
Th2 0.0000 0.0000 0.7635
Th3 0.3333 0.6667 0.4301
Th4 0.3333 0.6667 0.9032
Th5 0.6667 0.3333 0.0968
Th6 0.6667 0.3333 0.5699
Pb1 0.0000 0.0000 0.0000
Pb2 0.3333 0.6667 0.6667
Pb3 0.6667 0.3333 0.3333
S1 0.0000 0.0000 0.5000
S2 0.3333 0.6667 0.1667
S3 0.6667 0.3333 0.8333

SG = R-3m, No. 166
calculated density = 10.2 g cm⁻³

***

Model Q:
# Th2PbS

A relaxed Th2PbS crystal (PBE-GGA, Alexandria).

abc: 4.2702 4.2702 21.8983
angles: 90.00 90.00 120.00
Sites, in units of the cell vectors:
Th1 0.0000 0.0000 0.0000
Th2 0.0000 0.0000 0.1957
Th3 0.3333 0.6667 0.6667
Th4 0.3333 0.6667 0.8624
Th5 0.6667 0.3333 0.3333
Th6 0.6667 0.3333 0.5290
Pb1 0.0000 0.0000 0.4312
Pb2 0.3333 0.6667 0.0979
Pb3 0.6667 0.3333 0.7646
S1 0.0000 0.0000 0.6009
S2 0.3333 0.6667 0.2676
S3 0.6667 0.3333 0.9342

SG = R3m, No. 160
calculated density = 10.1 g cm⁻³

***

Most stable to least stable, the ends of the list are model P and model Q.

***

Model P:
# Ti3PbS

A relaxed Ti3PbS crystal (PBE-GGA, Alexandria).

abc: 7.1713 7.1713 4.5532
angles: 90.00 90.00 127.70
Sites, in units of the cell vectors:
Ti1 0.0000 0.5000 0.5000
Ti2 0.1233 0.8767 0.0000
Ti3 0.2918 0.2918 0.5000
Ti4 0.5000 0.0000 0.5000
Ti5 0.7082 0.7082 0.5000
Ti6 0.8767 0.1233 0.0000
Pb1 0.3634 0.6366 0.0000
Pb2 0.6366 0.3634 0.0000
S1 0.1149 0.8851 0.5000
S2 0.8851 0.1149 0.5000

SG = Cmmm, No. 65
calculated density = 6.9 g cm⁻³

***

Model Q:
# Ti3PbS

A relaxed Ti3PbS crystal (PBE-GGA, Alexandria).

abc: 4.5616 4.5616 4.5616
angles: 90.00 90.00 90.00
Sites, in units of the cell vectors:
Ti1 0.0000 0.0000 0.5000
Ti2 0.0000 0.5000 0.0000
Ti3 0.5000 0.0000 0.0000
Pb1 0.5000 0.5000 0.5000
S1 0.0000 0.0000 0.0000

SG = Pm-3m, No. 221
calculated density = 6.7 g cm⁻³

***

Model R:
# Ti3PbS

A relaxed Ti3PbS crystal (PBE-GGA, Alexandria).

abc: 4.7347 4.8808 8.0239
angles: 90.00 90.08 90.00
Sites, in units of the cell vectors:
Ti1 0.0004 0.2500 0.0750
Ti2 0.9996 0.7500 0.9250
Ti3 0.4991 0.2500 0.4402
Ti4 0.4997 0.2500 0.8581
Ti5 0.5003 0.7500 0.1419
Ti6 0.5009 0.7500 0.5598
Pb1 0.0007 0.7500 0.3395
Pb2 0.9993 0.2500 0.6605
S1 0.4993 0.7500 0.8473
S2 0.5007 0.2500 0.1527

SG = P2_1/m, No. 11
calculated density = 6.9 g cm⁻³

***

Most stable to least stable, the ends of the list are model R and model Q.

***

Model P:
# TlPb2S

A relaxed TlPb2S crystal (PBE-GGA, Alexandria).

abc: 3.7954 3.7954 7.7871
angles: 90.00 90.00 90.00
Sites, in units of the cell vectors:
Tl1 0.0000 0.0000 0.0000
Pb1 0.5000 0.5000 0.2959
Pb2 0.5000 0.5000 0.7041
S1 0.0000 0.0000 0.5000

SG = P4/mmm, No. 123
calculated density = 9.6 g cm⁻³

***

Model Q:
# TlPb2S

A relaxed TlPb2S crystal (PBE-GGA, Alexandria).

abc: 6.7725 6.7725 13.5845
angles: 90.00 90.00 90.00
Sites, in units of the cell vectors:
Tl1 0.0000 0.0000 0.0000
Tl2 0.0000 0.5000 0.2500
Tl3 0.5000 0.0000 0.7500
Tl4 0.5000 0.5000 0.5000
Pb1 0.2174 0.2500 0.6250
Pb2 0.2500 0.7174 0.8750
Pb3 0.2500 0.7826 0.3750
Pb4 0.2826 0.2500 0.1250
Pb5 0.7174 0.7500 0.1250
Pb6 0.7500 0.2174 0.3750
Pb7 0.7500 0.2826 0.8750
Pb8 0.7826 0.7500 0.6250
S1 0.0000 0.0000 0.5000
S2 0.0000 0.5000 0.7500
S3 0.5000 0.0000 0.2500
S4 0.5000 0.5000 0.0000

SG = I-42d, No. 122
calculated density = 6.9 g cm⁻³

***

Model R:
# TlPb2S

A relaxed TlPb2S crystal (PBE-GGA, Alexandria).

abc: 3.6646 3.6646 31.9370
angles: 90.00 90.00 120.00
Sites, in units of the cell vectors:
Tl1 0.0000 0.0000 0.0000
Tl2 0.3333 0.6667 0.6667
Tl3 0.6667 0.3333 0.3333
Pb1 0.0000 0.0000 0.1051
Pb2 0.0000 0.0000 0.8949
Pb3 0.3333 0.6667 0.5616
Pb4 0.3333 0.6667 0.7718
Pb5 0.6667 0.3333 0.2282
Pb6 0.6667 0.3333 0.4384
S1 0.0000 0.0000 0.5000
S2 0.3333 0.6667 0.1667
S3 0.6667 0.3333 0.8333

SG = R-3m, No. 166
calculated density = 8.7 g cm⁻³

***

Most stable to least stable, the ends of the list are model P and model Q.

***

Model P:
# TlPb2S

A relaxed TlPb2S crystal (PBE-GGA, Alexandria).

abc: 7.5793 7.5793 7.5793
angles: 90.00 90.00 90.00
Sites, in units of the cell vectors:
Tl1 0.0000 0.0000 0.0000
Tl2 0.0000 0.5000 0.5000
Tl3 0.5000 0.0000 0.5000
Tl4 0.5000 0.5000 0.0000
Pb1 0.2500 0.2500 0.2500
Pb2 0.2500 0.2500 0.7500
Pb3 0.2500 0.7500 0.2500
Pb4 0.2500 0.7500 0.7500
Pb5 0.7500 0.2500 0.2500
Pb6 0.7500 0.2500 0.7500
Pb7 0.7500 0.7500 0.2500
Pb8 0.7500 0.7500 0.7500
S1 0.0000 0.0000 0.5000
S2 0.0000 0.5000 0.0000
S3 0.5000 0.0000 0.0000
S4 0.5000 0.5000 0.5000

SG = Fm-3m, No. 225
calculated density = 9.9 g cm⁻³

***

Model Q:
# TlPb2S

A relaxed TlPb2S crystal (PBE-GGA, Alexandria).

abc: 6.6423 3.8446 9.3946
angles: 90.00 103.25 90.00
Sites, in units of the cell vectors:
Tl1 0.0000 0.0000 0.0000
Tl2 0.5000 0.5000 0.0000
Pb1 0.0697 0.5000 0.7089
Pb2 0.2668 0.5000 0.2912
Pb3 0.5697 0.0000 0.7089
Pb4 0.7668 0.0000 0.2912
S1 0.1674 0.0000 0.4995
S2 0.6674 0.5000 0.4995

SG = Cm, No. 8
calculated density = 9.3 g cm⁻³

***

Most stable to least stable, the ends of the list are model Q and model P.

***

Model P:
# TlPbS2

A relaxed TlPbS2 crystal (PBE-GGA, Alexandria).

abc: 6.3594 6.3594 13.8347
angles: 90.00 90.00 90.00
Sites, in units of the cell vectors:
Tl1 0.0000 0.0000 0.0000
Tl2 0.0000 0.5000 0.2500
Tl3 0.5000 0.0000 0.7500
Tl4 0.5000 0.5000 0.5000
Pb1 0.0000 0.0000 0.5000
Pb2 0.0000 0.5000 0.7500
Pb3 0.5000 0.0000 0.2500
Pb4 0.5000 0.5000 0.0000
S1 0.2387 0.2500 0.1250
S2 0.2500 0.7387 0.3750
S3 0.2500 0.7613 0.8750
S4 0.2613 0.2500 0.6250
S5 0.7387 0.7500 0.6250
S6 0.7500 0.2387 0.8750
S7 0.7500 0.2613 0.3750
S8 0.7613 0.7500 0.1250

SG = I-42d, No. 122
calculated density = 5.6 g cm⁻³

***

Model Q:
# TlPbS2

A relaxed TlPbS2 crystal (PBE-GGA, Alexandria).

abc: 7.2497 4.2061 7.4589
angles: 90.00 100.10 90.00
Sites, in units of the cell vectors:
Tl1 0.2459 0.0000 0.0597
Tl2 0.7541 0.0000 0.9403
Pb1 0.0000 0.0000 0.5000
Pb2 0.5000 0.5000 0.5000
S1 0.1182 0.5000 0.2730
S2 0.3786 0.0000 0.7279
S3 0.6214 0.0000 0.2721
S4 0.8818 0.5000 0.7270

SG = P2/m, No. 10
calculated density = 7.1 g cm⁻³

***

Model R:
# TlPbS2

A relaxed TlPbS2 crystal (PBE-GGA, Alexandria).

abc: 7.2366 7.2366 7.2366
angles: 90.00 90.00 90.00
Sites, in units of the cell vectors:
Tl1 0.0000 0.0000 0.0000
Tl2 0.0000 0.5000 0.5000
Tl3 0.5000 0.0000 0.5000
Tl4 0.5000 0.5000 0.0000
Pb1 0.0000 0.0000 0.5000
Pb2 0.0000 0.5000 0.0000
Pb3 0.5000 0.0000 0.0000
Pb4 0.5000 0.5000 0.5000
S1 0.2500 0.2500 0.2500
S2 0.2500 0.2500 0.7500
S3 0.2500 0.7500 0.2500
S4 0.2500 0.7500 0.7500
S5 0.7500 0.2500 0.2500
S6 0.7500 0.2500 0.7500
S7 0.7500 0.7500 0.2500
S8 0.7500 0.7500 0.7500

SG = Fm-3m, No. 225
calculated density = 8.3 g cm⁻³

***

Most stable to least stable, the ends of the list are model Q and model R.

***

Model P:
# TlPbS2

A relaxed TlPbS2 crystal (PBE-GGA, Alexandria).

abc: 3.8972 3.8972 26.0111
angles: 90.00 90.00 120.00
Sites, in units of the cell vectors:
Tl1 0.0000 0.0000 0.0000
Tl2 0.3333 0.6667 0.6667
Tl3 0.6667 0.3333 0.3333
Pb1 0.0000 0.0000 0.5000
Pb2 0.3333 0.6667 0.1667
Pb3 0.6667 0.3333 0.8333
S1 0.0000 0.0000 0.3919
S2 0.0000 0.0000 0.6081
S3 0.3333 0.6667 0.0586
S4 0.3333 0.6667 0.2748
S5 0.6667 0.3333 0.7252
S6 0.6667 0.3333 0.9414

SG = R-3m, No. 166
calculated density = 6.9 g cm⁻³

***

Model Q:
# TlPbS2

A relaxed TlPbS2 crystal (PBE-GGA, Alexandria).

abc: 4.1074 4.1074 21.9397
angles: 90.00 90.00 120.00
Sites, in units of the cell vectors:
Tl1 0.0000 0.0000 0.0000
Tl2 0.3333 0.6667 0.6667
Tl3 0.6667 0.3333 0.3333
Pb1 0.0000 0.0000 0.1703
Pb2 0.3333 0.6667 0.8370
Pb3 0.6667 0.3333 0.5036
S1 0.0000 0.0000 0.5806
S2 0.0000 0.0000 0.7602
S3 0.3333 0.6667 0.2473
S4 0.3333 0.6667 0.4269
S5 0.6667 0.3333 0.0936
S6 0.6667 0.3333 0.9140

SG = R3m, No. 160
calculated density = 7.4 g cm⁻³

***

Most stable to least stable, the ends of the list are model Q and model P.

***

Model P:
# Tl5PbS4

A relaxed Tl5PbS4 crystal (PBE-GGA, Alexandria).

abc: 9.5567 9.5567 8.1640
angles: 107.42 107.42 25.35
Sites, in units of the cell vectors:
Tl1 0.0000 0.0000 0.0000
Tl2 0.3161 0.3161 0.1807
Tl3 0.3376 0.3376 0.6941
Tl4 0.6624 0.6624 0.3059
Tl5 0.6839 0.6839 0.8193
Pb1 0.0000 0.0000 0.5000
S1 0.1616 0.1616 0.5520
S2 0.4776 0.4776 0.2451
S3 0.5224 0.5224 0.7549
S4 0.8384 0.8384 0.4480

SG = C2/m, No. 12
calculated density = 7.4 g cm⁻³

***

Model Q:
# Tl5PbS4

A relaxed Tl5PbS4 crystal (PBE-GGA, Alexandria).

abc: 9.2895 10.2454 7.3722
angles: 90.00 90.00 90.00
Sites, in units of the cell vectors:
Tl1 0.0604 0.0043 0.2412
Tl2 0.0604 0.4957 0.2412
Tl3 0.2500 0.7500 0.8141
Tl4 0.4396 0.0043 0.2412
Tl5 0.4396 0.4957 0.2412
Tl6 0.5604 0.5043 0.7588
Tl7 0.5604 0.9957 0.7588
Tl8 0.7500 0.2500 0.1859
Tl9 0.9396 0.5043 0.7588
Tl10 0.9396 0.9957 0.7588
Pb1 0.2500 0.2500 0.7656
Pb2 0.7500 0.7500 0.2344
S1 0.0102 0.2500 0.9770
S2 0.2500 0.5080 0.6318
S3 0.2500 0.9920 0.6318
S4 0.4898 0.2500 0.9770
S5 0.5102 0.7500 0.0230
S6 0.7500 0.0080 0.3682
S7 0.7500 0.4920 0.3682
S8 0.9898 0.7500 0.0230

SG = Pmmn, No. 59
calculated density = 6.4 g cm⁻³

***

Most stable to least stable, the ends of the list are model P and model Q.